Record 1
A relaxed structure of La2YBiO6. Source: the Alexandria database, functional PBE.

Cell: 5.623 5.623 5.731 Å, 90.00 90.00 90.00°
Space group P4mm (No. 99)
Inequivalent atoms, fractional coordinates:
La: 0.000 0.500 0.000 x2
Y: 0.000 0.000 0.587 x1
Bi: 0.500 0.500 0.576 x1
O: 0.000 0.000 0.211 x1
O: 0.247 0.247 0.764 x4
O: 0.500 0.500 0.175 x1

Properties
Its total energy is -76.9 eV/cell.


Record 2
A relaxed structure of La3BiOs. Source: the Alexandria database, functional PBE.

Cell: 5.565 5.565 5.565 Å, 90.00 90.00 90.00°
Space group Pm-3m (No. 221)
Inequivalent atoms, fractional coordinates:
La: 0.000 0.000 0.500 x3
Bi: 0.500 0.500 0.500 x1
Os: 0.000 0.000 0.000 x1

Properties
The calculation puts the formation enthalpy at 0 K at -0.42 eV per atom.


Record 3
A relaxed structure of LaBi2Os. Source: the Alexandria database, functional PBE.

Cell: 4.531 4.531 21.795 Å, 90.00 90.00 90.00°
Space group I-42d (No. 122)
Inequivalent atoms, fractional coordinates:
La: 0.000 0.000 0.000 x4
Bi: 0.217 0.250 0.625 x8
Os: 0.000 0.000 0.500 x4

Properties
The calculation puts the formation enthalpy at 0 K at 0.35 eV per atom.


Record 4
A relaxed structure of LaBiOs3. Source: the Alexandria database, functional PBE.

Cell: 4.993 4.993 4.993 Å, 90.00 90.00 90.00°
Space group Pm-3m (No. 221)
Inequivalent atoms, fractional coordinates:
La: 0.000 0.000 0.000 x1
Bi: 0.500 0.500 0.500 x1
Os: 0.000 0.500 0.500 x3

Properties
The calculation puts the formation enthalpy at 0 K at 1.86 eV per atom.


Record 5
A relaxed structure of La6BiOs2. Source: the Alexandria database, functional PBE.

Cell: 11.670 4.873 9.646 Å, 90.00 94.01 90.00°
Space group C2/m (No. 12)
Inequivalent atoms, fractional coordinates:
La: 0.100 0.000 0.367 x4
La: 0.108 0.500 0.676 x4
La: 0.208 0.500 0.111 x4
Bi: 0.000 0.000 0.000 x2
Os: 0.246 0.500 0.382 x4

Properties
The calculation puts the formation enthalpy at 0 K at -0.29 eV per atom.


Record 6
A relaxed structure of LaBiOs3. Source: the Alexandria database, functional PBE.

Cell: 4.927 4.927 4.927 Å, 90.00 90.00 90.00°
Space group Pm-3m (No. 221)
Inequivalent atoms, fractional coordinates:
La: 0.000 0.000 0.000 x1
Bi: 0.500 0.500 0.500 x1
Os: 0.000 0.000 0.500 x3

Properties
The calculation puts the formation enthalpy at 0 K at 2.53 eV per atom.


Record 7
A relaxed structure of La12Bi6Os. Source: the Alexandria database, functional PBE.

Cell: 13.8303 13.8303 13.0908 Å, 90.00 90.00 120.00°
Space group R-3 (No. 148, hexagonal axes)
Inequivalent atoms, fractional coordinates:
La: 0.0316 0.1952 0.3918 x18
La: 0.0698 0.1922 0.8784 x18
Bi: 0.0446 0.4266 0.3054 x18
Os: 0.0000 0.0000 0.0000 x3

Properties
The calculation puts the formation enthalpy at 0 K at -0.57 eV per atom.


Record 8
A relaxed structure of LaBi2Os. Source: the Alexandria database, functional PBE.

Cell: 7.370 7.370 7.370 Å, 90.00 90.00 90.00°
Space group Fm-3m (No. 225)
Inequivalent atoms, fractional coordinates:
La: 0.000 0.000 0.000 x4
Bi: 0.250 0.250 0.250 x8
Os: 0.000 0.000 0.500 x4

Properties
The calculation puts the formation enthalpy at 0 K at 0.24 eV per atom.


Record 9
A relaxed structure of La8Bi2Os. Source: the Alexandria database, functional PBE.

Cell: 19.358 5.601 7.029 Å, 90.00 109.45 90.00°
Space group C2/m (No. 12)
Inequivalent atoms, fractional coordinates:
La: 0.005 0.000 0.227 x4
La: 0.087 0.500 0.749 x4
La: 0.140 0.500 0.309 x4
La: 0.220 0.000 0.137 x4
Bi: 0.170 0.000 0.624 x4
Os: 0.000 0.500 0.000 x2

Properties
The calculation puts the formation enthalpy at 0 K at -0.38 eV per atom.


Record 10
A relaxed structure of La5BiOs2. Source: the Alexandria database, functional PBE.

Cell: 8.135 8.135 14.270 Å, 90.00 90.00 90.00°
Space group I4/mcm (No. 140)
Inequivalent atoms, fractional coordinates:
La: 0.000 0.000 0.000 x4
La: 0.158 0.342 0.129 x16
Bi: 0.000 0.000 0.250 x4
Os: 0.141 0.359 0.500 x8

Properties
The calculation puts the formation enthalpy at 0 K at -0.41 eV per atom.


Record 11
A relaxed structure of La2BiOs2. Source: the Alexandria database, functional PBE.

Cell: 7.549 7.549 4.418 Å, 90.00 90.00 90.00°
Space group P4/mbm (No. 127)
Inequivalent atoms, fractional coordinates:
La: 0.181 0.319 0.000 x4
Bi: 0.000 0.000 0.500 x2
Os: 0.110 0.610 0.500 x4

Properties
The calculation puts the formation enthalpy at 0 K at -0.08 eV per atom.


Record 12
A relaxed structure of La3BiOs. Source: the Alexandria database, functional PBE.

Cell: 8.760 4.594 15.767 Å, 90.00 90.00 90.00°
Space group Pnma (No. 62)
Inequivalent atoms, fractional coordinates:
La: 0.023 0.250 0.104 x4
La: 0.150 0.250 0.504 x4
La: 0.194 0.750 0.291 x4
Bi: 0.090 0.750 0.676 x4
Os: 0.174 0.250 0.939 x4

Properties
The calculation puts the formation enthalpy at 0 K at -0.56 eV per atom.


no.,DOS(E_F) (states/eV per atom)
1,0.0000
2,1.2643
3,1.0903
4,0.9252
5,0.8761
6,1.1201
7,1.1385
8,0.7868
9,1.3206
10,0.9303
11,1.8319
12,0.5557